{
  "formula": "VZnReRh",
  "functional": "PBE",
  "state": "relaxed",
  "lattice_angstrom": [[6.0679, 0.0000, 0.0000], [0.0000, 6.0679, 0.0000], [0.0000, 0.0000, 6.0679]],
  "species": ["V", "V", "V", "V", "Zn", "Zn", "Zn", "Zn", "Re", "Re", "Re", "Re", "Rh", "Rh", "Rh", "Rh"],
  "fractional_positions": [[0.0000, 0.0000, 0.0000], [0.0000, 0.5000, 0.5000], [0.5000, 0.0000, 0.5000], [0.5000, 0.5000, 0.0000], [0.0000, 0.0000, 0.5000], [0.0000, 0.5000, 0.0000], [0.5000, 0.0000, 0.0000], [0.5000, 0.5000, 0.5000], [0.2500, 0.2500, 0.7500], [0.2500, 0.7500, 0.2500], [0.7500, 0.2500, 0.2500], [0.7500, 0.7500, 0.7500], [0.2500, 0.2500, 0.2500], [0.2500, 0.7500, 0.7500], [0.7500, 0.2500, 0.7500], [0.7500, 0.7500, 0.2500]],
  "ef_ev_per_atom": -0.106,
  "space_group": "F-43m",
  "total_energy_ev_per_cell": -122.459,
  "m_tot_mub_per_cell": 0.00
}